# Co2BBr

Crystalline Co2BBr at its relaxed geometry (PBE, Alexandria).

POSCAR file:
```
Co2BBr
1.0
0.0000 2.8548 2.8548
2.8548 0.0000 2.8548
2.8548 2.8548 0.0000
Co B Br
2 1 1
Cartesian
1.4274 1.4274 1.4274
4.2823 4.2823 4.2823
0.0000 0.0000 0.0000
2.8548 2.8548 2.8548
```

Computed properties:
**Total moment**: 1.95 μB per formula unit
**Formation energy from raw total energies**: 1.037 eV per atom
**Energy relative to the lowest polymorph listed for this composition**: 544 meV/atom
**N(E_F)**: 3.03 states/eV/f.u.

=====

# Zn3CrN3

Crystalline Zn3CrN3 at its relaxed geometry (PBE, Alexandria).

POSCAR file:
```
Zn3CrN3
1.0
6.6161 0.0000 0.0000
-3.3080 5.7297 0.0000
0.0000 0.0000 4.4961
Zn Cr N
6 2 6
Cartesian
0.0000 2.0672 1.1240
-1.5178 4.6961 1.1240
1.7903 1.0336 3.3721
1.5178 4.6961 1.1240
4.8258 1.0336 3.3721
3.3080 3.6625 3.3721
0.0000 3.8198 3.3721
3.3080 1.9099 1.1240
0.0000 2.0434 3.3721
-1.5384 4.7080 3.3721
1.7696 1.0217 1.1240
1.5384 4.7080 3.3721
4.8464 1.0217 1.1240
3.3080 3.6863 1.1240
```

Computed properties:
**Total moment**: 1.00 μB per formula unit
**Formation energy from raw total energies**: 0.037 eV per atom
**N(E_F)**: 1.81 states/eV/f.u.

=====

# AcNdPuMg

Crystalline AcNdPuMg at its relaxed geometry (PBE, Alexandria).

POSCAR file:
```
AcNdPuMg
1.0
0.0000 4.0455 4.0455
4.0455 0.0000 4.0455
4.0455 4.0455 0.0000
Ac Nd Pu Mg
1 1 1 1
Cartesian
0.0000 0.0000 0.0000
4.0455 4.0455 4.0455
2.0227 2.0227 2.0227
6.0682 6.0682 6.0682
```

Computed properties:
**Total moment**: 6.24 μB per formula unit
**N(E_F)**: 16.41 states/eV/f.u.
**Energy of formation**: 175 meV per atom

=====

# In2TeWBr

Crystalline In2TeWBr at its relaxed geometry (PBE, Alexandria).

POSCAR file:
```
In2TeWBr
1.0
5.9889 0.0000 0.0000
0.0000 5.9889 0.0000
0.0000 0.0000 5.5541
In Te W Br
2 1 1 1
Cartesian
0.0000 2.9944 0.0000
2.9944 0.0000 0.0000
0.0000 0.0000 0.0000
2.9944 2.9944 2.7770
0.0000 0.0000 2.7770
```

Computed properties:
**Total moment**: 5.01 μB per formula unit
**Formation energy from raw total energies**: 1.493 eV per atom
**N(E_F)**: 2.70 states/eV/f.u.

=====

# ZrBe

Crystalline ZrBe at its relaxed geometry (PBE, Alexandria).

POSCAR file:
```
ZrBe
1.0
1.9016 1.0979 5.1998
-1.9016 1.0979 5.1998
0.0000 -2.1957 5.1998
Zr Be
2 2
Cartesian
0.0000 0.0000 1.5394
0.0000 0.0000 14.0600
0.0000 0.0000 5.1100
0.0000 0.0000 10.4894
```

Computed properties:
**Total moment**: 0.00 μB per formula unit
**N(E_F)**: 0.97 states/eV/f.u.
**Energy of formation**: -18 meV per atom

=====

# NaGa2TcO6

Crystalline NaGa2TcO6 at its relaxed geometry (PBE, Alexandria).

POSCAR file:
```
NaGa2TcO6
1.0
4.6293 -5.5935 0.0000
4.6293 5.5935 0.0000
-2.5210 0.0000 5.4929
Na Ga Tc O
2 4 2 12
Cartesian
2.7385 4.4353 4.1197
3.9990 -4.4353 1.3732
1.3200 0.8258 4.5570
2.5805 -0.8258 1.8106
4.1571 0.8258 3.6823
5.4176 -0.8258 0.9359
3.9990 3.4534 1.3732
2.7385 -3.4534 4.1197
-0.5095 0.9469 3.7923
1.2702 2.6333 5.2247
0.7510 -0.9469 1.0459
2.2171 0.6496 2.9119
4.2069 2.6333 3.0146
3.4777 -0.6496 0.1655
3.2599 0.6496 5.3275
2.5307 -2.6333 2.4783
4.5204 -0.6496 2.5810
5.9866 0.9469 4.4471
5.4674 -2.6333 0.2682
7.2471 -0.9469 1.7006
```

Computed properties:
**Total moment**: 2.01 μB per formula unit
**Formation energy from raw total energies**: -1.551 eV per atom
**N(E_F)**: 0.61 states/eV/f.u.